Entry 1:
VASP calculation (PBE-GGA) on a relaxed PrIn2Bi crystal.

a = 4.874 Å, b = 4.874 Å, c = 4.809 Å
α = 90.00°, β = 90.00°, γ = 90.00°
Sites, in units of the cell vectors:
Pr 0.000 0.000 0.000
In 0.000 0.500 0.500
In 0.500 0.000 0.500
Bi 0.500 0.500 0.000

Computed properties:
* mass density: 8.42 g/cm3
* M_tot: 0.00 μB per formula unit
* space group: P4/mmm (123)
* VASP energy: -0.14684 hartree per atom

Entry 2:
VASP calculation (PBE-GGA) on a relaxed La2Tb2HoSc crystal.

a = 5.688 Å, b = 10.873 Å, c = 6.287 Å
α = 90.00°, β = 90.00°, γ = 90.00°
Sites, in units of the cell vectors:
La 0.000 0.075 0.000
La 0.000 0.925 0.500
La 0.500 0.255 0.176
La 0.500 0.745 0.676
Tb 0.000 0.424 0.999
Tb 0.000 0.576 0.499
Tb 0.500 0.093 0.675
Tb 0.500 0.907 0.175
Ho 0.000 0.260 0.519
Ho 0.000 0.740 0.019
Sc 0.500 0.422 0.673
Sc 0.500 0.578 0.173

Computed properties:
* mass density: 6.88 g/cm3
* M_tot: 0.01 μB per formula unit
* space group: Pmc2_1 (26)
* VASP energy: -0.18193 hartree per atom

Entry 3:
VASP calculation (PBE-GGA) on a relaxed ScAsW2 crystal.

a = 4.789 Å, b = 4.789 Å, c = 4.789 Å
α = 127.68°, β = 127.68°, γ = 77.14°
Sites, in units of the cell vectors:
Sc 0.000 0.000 0.000
As 0.750 0.250 0.500
W 0.250 0.750 0.500
W 0.500 0.500 0.000

Computed properties:
* mass density: 12.13 g/cm3
* M_tot: 0.00 μB per formula unit
* space group: I-4m2 (119)
* VASP energy: -0.33363 hartree per atom

Entry 4:
VASP calculation (PBE-GGA) on a relaxed SmMn5P3 crystal.

a = 6.253 Å, b = 6.253 Å, c = 10.970 Å
α = 90.00°, β = 90.00°, γ = 145.04°
Sites, in units of the cell vectors:
Sm 0.168 0.832 0.750
Sm 0.832 0.168 0.250
Mn 0.000 0.000 0.000
Mn 0.000 0.000 0.500
Mn 0.192 0.808 0.060
Mn 0.192 0.808 0.440
Mn 0.450 0.550 0.648
Mn 0.450 0.550 0.852
Mn 0.550 0.450 0.148
Mn 0.550 0.450 0.352
Mn 0.808 0.192 0.560
Mn 0.808 0.192 0.940
P 0.114 0.886 0.250
P 0.378 0.622 0.048
P 0.378 0.622 0.452
P 0.622 0.378 0.548
P 0.622 0.378 0.952
P 0.886 0.114 0.750

Computed properties:
* mass density: 7.00 g/cm3
* M_tot: 5.01 μB per formula unit
* space group: Cmcm (63)
* VASP energy: -0.29707 hartree per atom

Entry 5:
VASP calculation (PBE-GGA) on a relaxed V2ReTc4 crystal.

a = 6.923 Å, b = 6.923 Å, c = 6.923 Å
α = 140.93°, β = 140.93°, γ = 56.45°
Sites, in units of the cell vectors:
V 0.124 0.124 0.000
V 0.876 0.876 0.000
Re 0.500 0.500 0.000
Tc 0.000 0.500 0.500
Tc 0.295 0.295 0.000
Tc 0.500 0.000 0.500
Tc 0.705 0.705 0.000

Computed properties:
* mass density: 8.63 g/cm3
* M_tot: 0.50 μB per formula unit
* space group: I4/mmm (139)
* VASP energy: -0.32848 hartree per atom

Entry 6:
VASP calculation (PBE-GGA) on a relaxed TlRe2Os crystal.

a = 5.371 Å, b = 5.371 Å, c = 5.371 Å
α = 145.45°, β = 131.10°, γ = 61.25°
Sites, in units of the cell vectors:
Tl 0.000 0.000 0.000
Re 0.251 0.751 0.500
Re 0.749 0.249 0.500
Os 0.500 0.500 0.000

Computed properties:
* mass density: 19.44 g/cm3
* distance to the lowest polymorph of the same formula: 0.374 eV/atom
* M_tot: 0.00 μB per formula unit
* space group: Immm (71)
* VASP energy: -0.31840 hartree per atom